# 1
## LiAcLaOs (PBE-GGA)

Data for an optimized crystal structure of LiAcLaOs.

Lattice parameters (Å, degrees): 5.2340 5.2340 5.2340 60.00 60.00 60.00
With the nearest neighbours (Å) after each atom.
Element x y z (fractional)
Li (0.0000, 0.0000, 0.0000)  4 Ac 3.21, 4 La 3.21
Ac (0.2500, 0.2500, 0.2500)  4 Li 3.21, 4 Os 3.21
La (0.7500, 0.7500, 0.7500)  4 Li 3.21, 4 Os 3.21
Os (0.5000, 0.5000, 0.5000)  4 Ac 3.21, 4 La 3.21

Properties
Energy of formation from the pure elements: 0.0100 eV per atom
Calculated volume: 101.4 Å³ per cell

---

# 2
## Li2AcLaPb2 (PBE-GGA)

Data for an optimized crystal structure of Li2AcLaPb2.

Lattice parameters (Å, degrees): 4.9369 4.9369 8.2297 90.00 90.00 120.00
With the nearest neighbours (Å) after each atom.
Element x y z (fractional)
Li (0.3333, 0.6667, 0.2186)  3 Pb 2.85
Li (0.6667, 0.3333, 0.7814)  3 Pb 2.85
Ac (0.0000, 0.0000, 0.5000)  6 Pb 3.59, 6 Li 3.67
La (0.0000, 0.0000, 0.0000)  6 Li 3.37, 6 Pb 3.45
Pb (0.3333, 0.6667, 0.7644)  3 Li 2.85
Pb (0.6667, 0.3333, 0.2356)  3 Li 2.85

Properties
Energy of formation from the pure elements: -0.5452 eV per atom
Calculated volume: 173.7 Å³ per cell

---

# 3
## Li2AcLa2Pb2 (PBE-GGA)

Data for an optimized crystal structure of Li2AcLa2Pb2.

Lattice parameters (Å, degrees): 10.1928 10.1928 10.1928 28.08 28.08 28.08
With the nearest neighbours (Å) after each atom.
Element x y z (fractional)
Li (0.0846, 0.0846, 0.0846)  3 Pb 2.87
Li (0.9154, 0.9154, 0.9154)  3 Pb 2.87
Ac (0.5000, 0.5000, 0.5000)  6 Pb 3.57, 6 Li 3.74
La (0.3639, 0.3639, 0.3639)  3 Li 3.27, 3 La 3.37, 4 Pb 3.41-3.66
La (0.6361, 0.6361, 0.6361)  3 Li 3.27, 3 La 3.37, 4 Pb 3.41-3.66
Pb (0.2394, 0.2394, 0.2394)  3 Li 2.87
Pb (0.7606, 0.7606, 0.7606)  3 Li 2.87

Properties
Energy of formation from the pure elements: -0.3866 eV per atom
Calculated volume: 207.3 Å³ per cell

---

# 4
## Li2Ac3La2Pb4 (PBE-GGA)

Data for an optimized crystal structure of Li2Ac3La2Pb4.

Lattice parameters (Å, degrees): 5.0425 5.0425 17.3186 90.00 90.00 120.00
With the nearest neighbours (Å) after each atom.
Element x y z (fractional)
Li (0.3333, 0.6667, 0.1162)  3 Pb 2.91
Li (0.6667, 0.3333, 0.8838)  3 Pb 2.91
Ac (0.0000, 0.0000, 0.0000)  6 Li 3.54, 6 Pb 3.58
Ac (0.0000, 0.0000, 0.2422)  6 Pb 3.50-3.60, 3 Li 3.64
Ac (0.0000, 0.0000, 0.7578)  6 Pb 3.50-3.60, 3 Li 3.64
La (0.3333, 0.6667, 0.5673)  3 Pb 3.21
La (0.6667, 0.3333, 0.4327)  3 Pb 3.21
Pb (0.3333, 0.6667, 0.3543)  3 La 3.21, 3 Ac 3.50
Pb (0.3333, 0.6667, 0.8797)  3 Li 2.91
Pb (0.6667, 0.3333, 0.1203)  3 Li 2.91
Pb (0.6667, 0.3333, 0.6457)  3 La 3.21, 3 Ac 3.50

Properties
Energy of formation from the pure elements: -0.4551 eV per atom
Calculated volume: 381.4 Å³ per cell

---

# 5
## LiAcLaPb (PBE-GGA)

Data for an optimized crystal structure of LiAcLaPb.

Lattice parameters (Å, degrees): 5.6886 5.6886 5.6886 60.00 60.00 60.00
With the nearest neighbours (Å) after each atom.
Element x y z (fractional)
Li (0.0000, 0.0000, 0.0000)  4 Ac 3.48, 4 La 3.48
Ac (0.7500, 0.7500, 0.7500)  4 Li 3.48, 4 Pb 3.48
La (0.2500, 0.2500, 0.2500)  4 Pb 3.48, 4 Li 3.48
Pb (0.5000, 0.5000, 0.5000)  4 Ac 3.48, 4 La 3.48

Properties
Energy of formation from the pure elements: -0.3030 eV per atom
Calculated volume: 130.2 Å³ per cell

---

# 6
## LiAcLaPm (PBE-GGA)

Data for an optimized crystal structure of LiAcLaPm.

Lattice parameters (Å, degrees): 5.8451 5.8451 5.8451 60.00 60.00 60.00
With the nearest neighbours (Å) after each atom.
Element x y z (fractional)
Li (0.0000, 0.0000, 0.0000)  4 Pm 3.58, 4 La 3.58
Ac (0.5000, 0.5000, 0.5000)  4 Pm 3.58, 4 La 3.58
La (0.2500, 0.2500, 0.2500)  4 Ac 3.58, 4 Li 3.58
Pm (0.7500, 0.7500, 0.7500)  4 Ac 3.58, 4 Li 3.58

Properties
Energy of formation from the pure elements: 0.2107 eV per atom
Calculated volume: 141.2 Å³ per cell

---

These records have M_tot values of 0.000, 0.000, 0.002, 0.639, 0.000, 0.000 μB per formula unit, in the order they appear.